1.
Here is a geometry-optimized Tb2Nd12Tm5 structure from Alexandria via LeMat-Bulk. Energies are from GGA-PBE.

For the formation energy, the calculation gives 0.109 eV/atom. The calculation puts the density of states at the Fermi level at 52.4 states/eV/cell. The spin magnetization is 0.0 μB/f.u. For the theoretical density, the calculation gives 7.5 g cm⁻³. Its offset from the most stable computed form is 0.000 eV/atom.

The space group is C2/m (No. 12) and the conventional cell measures 12.988, 11.662 and 9.447 Å, with angles of 90.00, 116.10 and 90.00 degrees. The distinct sites, in fractional coordinates, are Tb at (0.000, 0.224, 0.000), Nd at (0.078, 0.000, 0.789), Nd at (0.108, 0.219, 0.416), Nd at (0.115, 0.500, 0.941), Nd at (0.197, 0.255, 0.803), Tm at (0.000, 0.500, 0.500), Tm at (0.189, 0.000, 0.233) and Tm at (0.197, 0.500, 0.340).


2.
Here is a geometry-optimized Y2SbPt9 structure from Alexandria via LeMat-Bulk. Energies are from GGA-PBE.

The calculation puts the density of states at the Fermi level at 6.8 states/eV/cell. For the energy relative to the elements, uncorrected, the calculation gives -0.74 eV per atom. The spin magnetization is 0.0 μB/f.u. For the theoretical density, the calculation gives 16.4 g cm⁻³.

The space group is P4/mmm (No. 123) and the conventional cell measures 4.114, 4.114 and 12.322 Å, with angles of 90.00, 90.00 and 90.00 degrees. The distinct sites, in fractional coordinates, are Y at (0.000, 0.000, 0.165), Sb at (0.000, 0.000, 0.500), Pt at (0.000, 0.500, 0.000), Pt at (0.000, 0.500, 0.338), Pt at (0.500, 0.500, 0.171) and Pt at (0.500, 0.500, 0.500).